## AlCu2Rh (PBE)

Data for a geometry-optimized AlCu2Rh structure.

Results
Energy in eV per atom: -5.224
Space group: I-4m2
DFT formation energy in eV/atom: -0.4026

Unit cell a=4.4262 b=4.4266 c=4.4223 alpha=128.20 beta=128.20 gamma=76.30
With the nearest neighbours (Å) after each atom.
Fractional coordinates of all 4 atoms:
Rh1 0.4998 0.5001 0.0000  8 Cu 2.60-2.74, 4 Al 2.60
Al1 0.7501 0.2498 0.5000  8 Cu 2.60-2.74, 4 Rh 2.60
Cu1 0.0000 0.9999 0.0000  4 Cu 2.60, 4 Al 2.60, 4 Rh 2.73-2.74
Cu2 0.2500 0.7500 0.5000  4 Rh 2.60, 4 Cu 2.60, 4 Al 2.73-2.74

## Al4CuRh3 (PBE)

Data for a geometry-optimized Al4CuRh3 structure.

Results
Energy in eV per atom: -6.003
Space group: Pmmm
DFT formation energy in eV/atom: -0.8625

Unit cell a=2.9786 b=4.2590 c=8.5558 alpha=90.00 beta=90.00 gamma=90.00
With the nearest neighbours (Å) after each atom.
Fractional coordinates of all 8 atoms:
Rh1 0.5000 0.0000 0.2495  8 Al 2.60-2.61
Rh2 0.5000 0.5000 0.5000  8 Al 2.60-2.61
Rh3 0.5000 0.0000 0.7505  8 Al 2.60-2.61
Al1 0.0000 0.0000 0.5000  8 Rh 2.60-2.61
Al2 0.0000 0.5000 0.7508  6 Rh 2.60-2.61, 2 Cu 2.60
Al3 0.0000 0.0000 0.0000  4 Cu 2.60, 4 Rh 2.60
Al4 0.0000 0.5000 0.2492  6 Rh 2.60-2.61, 2 Cu 2.60
Cu1 0.5000 0.5000 0.0000  8 Al 2.60

## Al8CuRh2 (PBE)

Data for a geometry-optimized Al8CuRh2 structure.

Results
Energy in eV per atom: -4.901
Space group: P-1
DFT formation energy in eV/atom: -0.4706

Unit cell a=4.7415 b=5.1896 c=7.6883 alpha=109.57 beta=107.54 gamma=90.54
With the nearest neighbours (Å) after each atom.
Fractional coordinates of all 11 atoms:
Al1 0.8401 0.3372 0.9080  2 Al 2.48-2.49, 2 Rh 2.53, 1 Cu 2.53
Al2 0.9176 0.9839 0.5517  2 Al 2.56-2.63, 3 Rh 2.57-2.74, 1 Cu 2.78
Al3 0.2747 0.3408 0.2656  2 Al 2.56-2.63, 3 Rh 2.57-2.74, 1 Cu 2.77
Al4 0.6918 0.0118 0.1135  2 Rh 2.71-2.72, 2 Cu 2.75, 7 Al 2.80-2.92
Al5 0.2643 0.8341 0.2664  2 Al 2.56-2.63, 3 Rh 2.57-2.74, 1 Cu 2.78
Al6 0.9072 0.4773 0.5525  2 Al 2.56-2.63, 3 Rh 2.57-2.74, 1 Cu 2.78
Al7 0.3418 0.4811 0.9101  2 Al 2.48-2.49, 2 Rh 2.53, 1 Cu 2.53
Al8 0.4899 0.8064 0.7046  2 Rh 2.71-2.72, 2 Cu 2.75-2.76, 7 Al 2.80-2.92
Cu1 0.0907 0.9092 0.9095  10 Al 2.53-2.78
Rh1 0.7524 0.5696 0.2305  10 Al 2.53-2.74
Rh2 0.4295 0.2485 0.5876  10 Al 2.53-2.74

## Al8CuRh2 (PBE)

Data for a geometry-optimized Al8CuRh2 structure.

Results
Energy in eV per atom: -4.838
Space group: C2/m
DFT formation energy in eV/atom: -0.4071

Unit cell a=5.0747 b=6.8959 c=6.8959 alpha=45.26 beta=93.26 gamma=93.26
With the nearest neighbours (Å) after each atom.
Fractional coordinates of all 11 atoms:
Al1 0.3749 0.3443 0.8409  2 Rh 2.51-2.59, 1 Cu 2.55, 4 Al 2.64-2.76
Al2 0.6251 0.1591 0.6557  2 Rh 2.51-2.59, 1 Cu 2.55, 4 Al 2.64-2.76
Al3 0.1422 0.7889 0.7889  2 Rh 2.60-2.62, 1 Cu 2.82
Al4 0.8578 0.2111 0.2111  2 Rh 2.60-2.62, 1 Cu 2.82
Al5 0.3749 0.8409 0.3443  2 Rh 2.51-2.59, 1 Cu 2.55, 4 Al 2.64-2.76
Al6 0.6251 0.6557 0.1591  2 Rh 2.51-2.59, 1 Cu 2.55, 4 Al 2.64-2.76
Al7 0.8635 0.5789 0.5789  1 Rh 2.43, 1 Al 2.51
Al8 0.1365 0.4211 0.4211  1 Rh 2.43, 1 Al 2.51
Cu1 0.0000 0.0000 0.0000  6 Al 2.55-2.82
Rh1 0.6335 0.7409 0.7409  7 Al 2.43-2.62
Rh2 0.3665 0.2591 0.2591  7 Al 2.43-2.62

## Al5Cu4Rh (PBE)

Data for a geometry-optimized Al5Cu4Rh structure.

Results
Energy in eV per atom: -4.603
Space group: P4/mmm
DFT formation energy in eV/atom: -0.3584

Unit cell a=3.0698 b=3.0698 c=14.2757 alpha=90.00 beta=90.00 gamma=90.00
With the nearest neighbours (Å) after each atom.
Fractional coordinates of all 10 atoms:
Al1 0.5000 0.5000 0.1000  4 Rh 2.60, 4 Cu 2.62, 2 Al 2.85-2.86
Al2 0.5000 0.5000 0.3000  8 Cu 2.58-2.61, 2 Al 2.85-2.86
Al3 0.5000 0.5000 0.5000  8 Cu 2.58, 2 Al 2.86
Al4 0.5000 0.5000 0.7000  8 Cu 2.58-2.61, 2 Al 2.85-2.86
Al5 0.5000 0.5000 0.9000  4 Rh 2.60, 4 Cu 2.62, 2 Al 2.85-2.86
Cu1 0.0000 0.0000 0.2022  8 Al 2.58-2.62, 1 Cu 2.85, 1 Rh 2.89
Cu2 0.0000 0.0000 0.4019  8 Al 2.58-2.61, 2 Cu 2.80-2.85
Cu3 0.0000 0.0000 0.5981  8 Al 2.58-2.61, 2 Cu 2.80-2.85
Cu4 0.0000 0.0000 0.7978  8 Al 2.58-2.62, 1 Cu 2.85, 1 Rh 2.89
Rh1 0.0000 0.0000 0.0000  8 Al 2.60, 2 Cu 2.89

## Al2Cu2Rh (PBE)

Data for a geometry-optimized Al2Cu2Rh structure.

Results
Energy in eV per atom: -4.891
Space group: P4/mbm
DFT formation energy in eV/atom: -0.2852

Unit cell a=6.7527 b=6.7527 c=2.9907 alpha=90.00 beta=90.00 gamma=90.00
With the nearest neighbours (Å) after each atom.
Fractional coordinates of all 10 atoms:
Rh1 0.0000 0.0000 0.0000  4 Al 2.56
Rh2 0.5000 0.5000 0.0000  4 Al 2.56
Al1 0.3461 0.8460 0.0000  6 Cu 2.46-2.50, 2 Rh 2.56
Al2 0.8460 0.6540 0.0000  6 Cu 2.46-2.50, 2 Rh 2.56
Al3 0.6540 0.1540 0.0000  6 Cu 2.46-2.50, 2 Rh 2.56
Al4 0.1540 0.3461 0.0000  6 Cu 2.46-2.50, 2 Rh 2.56
Cu1 0.1421 0.6421 0.5000  6 Al 2.46-2.50, 1 Cu 2.71
Cu2 0.6421 0.8579 0.5000  6 Al 2.46-2.50, 1 Cu 2.71
Cu3 0.8579 0.3579 0.5000  6 Al 2.46-2.50, 1 Cu 2.71
Cu4 0.3579 0.1421 0.5000  6 Al 2.46-2.50, 1 Cu 2.71

## AlCuRh (PBE)

Data for a geometry-optimized AlCuRh structure.

Results
Energy in eV per atom: -5.600
Space group: Cmcm
DFT formation energy in eV/atom: -0.5367

Unit cell a=4.1455 b=5.0738 c=7.7087 alpha=90.00 beta=90.00 gamma=90.00
With the nearest neighbours (Å) after each atom.
Fractional coordinates of all 12 atoms:
Cu1 0.5000 0.2500 0.7500  2 Cu 2.54, 4 Al 2.66, 6 Rh 2.73-2.82
Cu2 0.0000 0.7500 0.2500  2 Cu 2.54, 4 Al 2.66, 6 Rh 2.73-2.82
Cu3 0.5000 0.7500 0.7500  2 Cu 2.54, 4 Al 2.66, 6 Rh 2.73-2.82
Cu4 0.0000 0.2500 0.2500  2 Cu 2.54, 4 Al 2.66, 6 Rh 2.73-2.82
Al1 0.0000 0.5000 0.6105  5 Rh 2.47-2.56, 4 Cu 2.66
Al2 0.0000 0.0000 0.8895  5 Rh 2.47-2.56, 4 Cu 2.66
Al3 0.5000 0.0000 0.3895  5 Rh 2.47-2.56, 4 Cu 2.66
Al4 0.5000 0.5000 0.1105  5 Rh 2.47-2.56, 4 Cu 2.66
Rh1 0.0000 0.0000 0.5633  5 Al 2.47-2.56, 2 Cu 2.73
Rh2 0.0000 0.5000 0.9367  5 Al 2.47-2.56, 2 Cu 2.73
Rh3 0.5000 0.0000 0.0633  5 Al 2.47-2.56, 2 Cu 2.73
Rh4 0.5000 0.5000 0.4367  5 Al 2.47-2.56, 2 Cu 2.73

## AlCuRh2 (PBE)

Data for a geometry-optimized AlCuRh2 structure.

Results
Energy in eV per atom: -5.976
Space group: Pmm2
DFT formation energy in eV/atom: -0.3403

Unit cell a=2.7707 b=3.7003 c=5.3388 alpha=90.00 beta=90.00 gamma=90.00
With the nearest neighbours (Å) after each atom.
Fractional coordinates of all 4 atoms:
Rh1 0.0000 0.0000 0.9825  2 Al 2.59-2.75, 4 Cu 2.61, 6 Rh 2.76-2.77
Rh2 0.5000 0.5000 0.2646  2 Cu 2.62-2.72, 4 Al 2.62, 6 Rh 2.76-2.77
Al1 0.0000 0.0000 0.4970  6 Rh 2.59-2.75, 4 Cu 2.69, 2 Al 2.77
Cu1 0.5000 0.5000 0.7559  6 Rh 2.61-2.72, 4 Al 2.69, 2 Cu 2.77

- The highest DFT formation energy belongs to which entry?
  Al2Cu2Rh

Copy entry 7 word for word.
## AlCuRh (PBE)

Data for a geometry-optimized AlCuRh structure.

Results
Energy in eV per atom: -5.600
Space group: Cmcm
DFT formation energy in eV/atom: -0.5367

Unit cell a=4.1455 b=5.0738 c=7.7087 alpha=90.00 beta=90.00 gamma=90.00
With the nearest neighbours (Å) after each atom.
Fractional coordinates of all 12 atoms:
Cu1 0.5000 0.2500 0.7500  2 Cu 2.54, 4 Al 2.66, 6 Rh 2.73-2.82
Cu2 0.0000 0.7500 0.2500  2 Cu 2.54, 4 Al 2.66, 6 Rh 2.73-2.82
Cu3 0.5000 0.7500 0.7500  2 Cu 2.54, 4 Al 2.66, 6 Rh 2.73-2.82
Cu4 0.0000 0.2500 0.2500  2 Cu 2.54, 4 Al 2.66, 6 Rh 2.73-2.82
Al1 0.0000 0.5000 0.6105  5 Rh 2.47-2.56, 4 Cu 2.66
Al2 0.0000 0.0000 0.8895  5 Rh 2.47-2.56, 4 Cu 2.66
Al3 0.5000 0.0000 0.3895  5 Rh 2.47-2.56, 4 Cu 2.66
Al4 0.5000 0.5000 0.1105  5 Rh 2.47-2.56, 4 Cu 2.66
Rh1 0.0000 0.0000 0.5633  5 Al 2.47-2.56, 2 Cu 2.73
Rh2 0.0000 0.5000 0.9367  5 Al 2.47-2.56, 2 Cu 2.73
Rh3 0.5000 0.0000 0.0633  5 Al 2.47-2.56, 2 Cu 2.73
Rh4 0.5000 0.5000 0.4367  5 Al 2.47-2.56, 2 Cu 2.73

- energy of number 2 (Al4CuRh3)?
  -6.003 eV per atom